Entry one
Compound: NaHf2Zr2
Source: Alexandria
Functional: PBE
Structure: optimized geometry

Unit cell a=8.8915 b=8.8915 c=3.1851 alpha=90.00 beta=90.00 gamma=90.00
With the nearest neighbours (Å) after each atom.
Positions (direct):
Na  0.0000  0.0000  0.0000  2 Na 3.19, 4 Zr 3.53
Na  0.5000  0.5000  0.0000  2 Na 3.19, 4 Zr 3.53
Hf  0.1687  0.3313  0.5000  6 Zr 3.07, 2 Hf 3.19
Hf  0.3313  0.8313  0.5000  6 Zr 3.07, 2 Hf 3.19
Hf  0.6687  0.1687  0.5000  6 Zr 3.07, 2 Hf 3.19
Hf  0.8313  0.6687  0.5000  6 Zr 3.07, 2 Hf 3.19
Zr  0.1228  0.6228  0.0000  6 Hf 3.07, 3 Zr 3.09-3.19
Zr  0.3772  0.1228  0.0000  6 Hf 3.07, 3 Zr 3.09-3.19
Zr  0.6228  0.8772  0.0000  6 Hf 3.07, 3 Zr 3.09-3.19
Zr  0.8772  0.3772  0.0000  6 Hf 3.07, 3 Zr 3.09-3.19

Properties
Its space-group type is No. 127. The calculation puts the density at 7.42 g/cm3. As for the density of states at the Fermi level: 1.49 states/eV per atom.

---

Entry two
Compound: NaHf2Zr2
Source: Alexandria
Functional: PBE
Structure: optimized geometry

Unit cell a=8.8380 b=8.8380 c=3.2279 alpha=90.00 beta=90.00 gamma=90.00
With the nearest neighbours (Å) after each atom.
Positions (direct):
Na  0.0000  0.0000  0.0000  2 Na 3.23, 4 Hf 3.53
Na  0.5000  0.5000  0.0000  2 Na 3.23, 4 Hf 3.53
Hf  0.1195  0.3805  0.0000  3 Hf 2.99-3.23, 6 Zr 3.06-3.08
Hf  0.3805  0.8805  0.0000  3 Hf 2.99-3.23, 6 Zr 3.06-3.08
Hf  0.6195  0.1195  0.0000  3 Hf 2.99-3.23, 6 Zr 3.06-3.08
Hf  0.8805  0.6195  0.0000  3 Hf 2.99-3.23, 6 Zr 3.06-3.08
Zr  0.1725  0.6725  0.5000  6 Hf 3.06-3.08, 2 Zr 3.23
Zr  0.3275  0.1725  0.5000  6 Hf 3.06-3.08, 2 Zr 3.23
Zr  0.6725  0.8275  0.5000  6 Hf 3.06-3.08, 2 Zr 3.23
Zr  0.8275  0.3275  0.5000  6 Hf 3.06-3.08, 2 Zr 3.23

Properties
Its space-group type is No. 127. The calculation puts the density at 7.41 g/cm3. As for the density of states at the Fermi level: 1.26 states/eV per atom.

---

Least stable of them? entry one.